## Nd4Tl3Ir (PBE)

Data for a relaxed structure of Nd4Tl3Ir.

Summary:
total moment	0.000	μB/cell
ΔH_f (0 K)	-0.44	eV per atom
symmetry	P4/mmm (123)
VASP energy	-4.8175	eV/atom

The structure in CIF format:
```
data_Nd4Tl3Ir
_space_group_name_H-M_alt 'P 1'
_space_group_IT_number 1
_cell_length_a 3.653
_cell_length_b 3.653
_cell_length_c 16.753
_cell_angle_alpha 90.00
_cell_angle_beta 90.00
_cell_angle_gamma 90.00
loop_
_space_group_symop_operation_xyz
'x,y,z'
loop_
_atom_site_label
_atom_site_type_symbol
_atom_site_fract_x
_atom_site_fract_y
_atom_site_fract_z
Nd1 Nd 0.000 0.000 0.100
Nd2 Nd 0.000 0.000 0.368
Nd3 Nd 0.000 0.000 0.632
Nd4 Nd 0.000 0.000 0.900
Tl1 Tl 0.500 0.500 0.240
Tl2 Tl 0.500 0.500 0.500
Tl3 Tl 0.500 0.500 0.760
Ir1 Ir 0.500 0.500 0.000
```